(1)
A geometry-optimized RuPb2 structure. Source: the Alexandria database, functional GGA-PBE.

Results
total magnetization: 0.00 Bohr magnetons per cell

```
data_RuPb2
_cell_length_a 3.4548
_cell_length_b 3.4548
_cell_length_c 6.8793
_cell_angle_alpha 90.00
_cell_angle_beta 90.00
_cell_angle_gamma 120.00
_space_group_name_H-M_alt 'P -3 m 1'
_space_group_IT_number 164
_space_group_name_Hall '-P 3 2"'
loop_
_atom_site_label
_atom_site_type_symbol
_atom_site_fract_x
_atom_site_fract_y
_atom_site_fract_z
_atom_site_occupancy
Ru1 Ru 0.0000 0.0000 0.0000 1
Pb1 Pb 0.3333 0.6667 0.2874 1
```

=====

(2)
A geometry-optimized Ce3Ge structure. Source: the Alexandria database, functional GGA-PBE.

Results
total magnetization: 3.54 Bohr magnetons per cell
E above lowest polymorph: 3.3 kJ per mole of atoms

```
data_Ce3Ge
_cell_length_a 4.544
_cell_length_b 4.544
_cell_length_c 9.353
_cell_angle_alpha 90.00
_cell_angle_beta 90.00
_cell_angle_gamma 90.00
_space_group_name_H-M_alt 'I 4/m m m'
_space_group_IT_number 139
_space_group_name_Hall '-I 4 2'
loop_
_atom_site_label
_atom_site_type_symbol
_atom_site_fract_x
_atom_site_fract_y
_atom_site_fract_z
_atom_site_occupancy
Ce1 Ce 0.000 0.000 0.000 1
Ce2 Ce 0.000 0.500 0.250 1
Ge1 Ge 0.000 0.000 0.500 1
```

=====

Number 1: formation energy from the elements 1.08 eV/f.u., electronic total energy -5.20 eV per atom. Number 2: formation energy from the elements -1.50 eV/f.u., electronic total energy -5.98 eV per atom.